No. 1
Material: GdCdGe2
Method: DFT, PBE-GGA
State: relaxed

Summary:
Raw total energy = -0.4639 Ry per atom
Relative energy among the computed polymorphs = 0.166 eV per atom

Cell lengths 4.590, 4.590, 5.587 Å; angles 65.75, 65.75, 60.00 degrees
Fractional coordinates of all 4 atoms:
Gd1 0.500 0.500 0.500
Cd1 0.000 0.000 0.000
Ge1 0.264 0.264 0.209
Ge2 0.736 0.736 0.791

---

No. 2
Material: SrSbAuSe3
Method: DFT, PBE-GGA
State: relaxed

Summary:
Raw total energy = -0.2926 Ry per atom
Energy relative to the elements, uncorrected = -70.0 kJ per mole of atoms

Cell lengths 4.197, 8.466, 9.335 Å; angles 102.53, 90.00, 90.00 degrees
Fractional coordinates of all 12 atoms:
Se1 0.250 0.572 0.849
Se2 0.250 0.730 0.485
Se3 0.250 0.101 0.879
Se4 0.750 0.899 0.121
Se5 0.750 0.270 0.515
Se6 0.750 0.428 0.151
Sb1 0.750 0.329 0.846
Sb2 0.250 0.671 0.154
Au1 0.750 0.902 0.420
Au2 0.250 0.098 0.580
Sr1 0.750 0.816 0.748
Sr2 0.250 0.184 0.252

---

No. 3
Material: Rb2BiNF6
Method: DFT, PBE-GGA
State: relaxed

Summary:
Raw total energy = -0.3044 Ry per atom
Energy relative to the elements, uncorrected = -154.8 kJ per mole of atoms

Cell lengths 5.891, 5.891, 6.942 Å; angles 64.90, 64.90, 90.00 degrees
Fractional coordinates of all 10 atoms:
F1 0.730 0.730 0.000
F2 0.270 0.730 0.000
F3 0.270 0.270 0.000
F4 0.203 0.203 0.595
F5 0.730 0.270 0.000
F6 0.797 0.797 0.405
Rb1 0.250 0.750 0.500
Rb2 0.750 0.250 0.500
Bi1 0.000 0.000 0.000
N1 0.500 0.500 0.000

---

No. 4
Material: LiPuHfS4
Method: DFT, PBE-GGA
State: relaxed

Summary:
Raw total energy = -0.5633 Ry per atom
Energy relative to the elements, uncorrected = -150.7 kJ per mole of atoms

Cell lengths 7.467, 7.754, 7.754 Å; angles 62.36, 61.22, 61.22 degrees
Fractional coordinates of all 14 atoms:
Pu1 0.000 0.000 0.000
Pu2 0.000 0.500 0.500
S1 0.749 0.780 0.723
S2 0.229 0.768 0.268
S3 0.264 0.232 0.732
S4 0.749 0.223 0.280
S5 0.251 0.777 0.720
S6 0.771 0.232 0.732
S7 0.736 0.768 0.268
S8 0.251 0.220 0.277
Li1 0.626 0.624 0.124
Li2 0.374 0.376 0.876
Hf1 0.500 0.000 0.500
Hf2 0.000 0.000 0.500

---

No. 5
Material: Li2TbMg2Tl2
Method: DFT, PBE-GGA
State: relaxed

Summary:
Raw total energy = -0.1882 Ry per atom

Cell lengths 4.811, 4.811, 8.503 Å; angles 73.57, 73.57, 60.00 degrees
Fractional coordinates of all 7 atoms:
Mg1 0.864 0.864 0.409
Mg2 0.136 0.136 0.591
Li1 0.423 0.423 0.732
Li2 0.577 0.577 0.268
Tl1 0.263 0.263 0.210
Tl2 0.737 0.737 0.790
Tb1 0.000 0.000 0.000

---

No. 6
Material: HgIr2Cl
Method: DFT, PBE-GGA
State: relaxed

Summary:
Raw total energy = -0.3300 Ry per atom
Relative energy among the computed polymorphs = 0.171 eV per atom
Energy relative to the elements, uncorrected = 46.1 kJ per mole of atoms

Cell lengths 2.924, 2.924, 10.353 Å; angles 90.00, 90.00, 122.48 degrees
Fractional coordinates of all 4 atoms:
Cl1 0.000 0.000 0.440
Ir1 0.500 0.500 0.246
Ir2 0.000 0.000 0.033
Hg1 0.500 0.500 0.781

---

No. 7
Material: PmY2PaN4
Method: DFT, PBE-GGA
State: relaxed

Summary:
Raw total energy = -0.6757 Ry per atom
Energy relative to the elements, uncorrected = -157.6 kJ per mole of atoms

Cell lengths 3.529, 6.094, 6.055 Å; angles 109.23, 90.00, 90.00 degrees
Fractional coordinates of all 8 atoms:
N1 0.000 0.735 0.243
N2 0.500 0.730 0.755
N3 0.000 0.265 0.757
N4 0.500 0.270 0.245
Y1 0.000 0.500 0.500
Y2 0.500 0.000 0.500
Pm1 0.000 0.000 0.000
Pa1 0.500 0.500 0.000

---

No. 8
Material: Sr2Cd5Rh4
Method: DFT, PBE-GGA
State: relaxed

Summary:
Raw total energy = -0.2589 Ry per atom

Cell lengths 5.961, 7.551, 7.071 Å; angles 72.25, 65.07, 66.75 degrees
Fractional coordinates of all 11 atoms:
Cd1 0.283 0.760 0.176
Cd2 0.219 0.240 0.824
Cd3 0.717 0.240 0.824
Cd4 0.000 0.500 0.500
Cd5 0.781 0.760 0.176
Rh1 0.771 0.541 0.918
Rh2 0.634 0.914 0.818
Rh3 0.229 0.459 0.082
Rh4 0.366 0.086 0.182
Sr1 0.734 0.202 0.329
Sr2 0.266 0.798 0.671

---

No. 9
Material: Be17NiRu
Method: DFT, PBE-GGA
State: relaxed

Summary:
Raw total energy = -0.3136 Ry per atom

Cell lengths 5.454, 5.454, 5.454 Å; angles 82.14, 82.14, 82.14 degrees
Fractional coordinates of all 19 atoms:
Be1 0.002 0.308 0.686
Be2 0.898 0.898 0.898
Be3 0.348 0.827 0.348
Be4 0.827 0.348 0.348
Be5 0.686 0.308 0.002
Be6 0.002 0.686 0.308
Be7 0.654 0.159 0.654
Be8 0.308 0.002 0.686
Be9 0.104 0.104 0.104
Be10 0.686 0.002 0.308
Be11 0.992 0.502 0.992
Be12 0.502 0.992 0.992
Be13 0.654 0.654 0.159
Be14 0.159 0.654 0.654
Be15 0.348 0.348 0.827
Be16 0.308 0.686 0.002
Be17 0.992 0.992 0.502
Ru1 0.668 0.668 0.668
Ni1 0.363 0.363 0.363

---

No. 10
Material: CePm3Os8
Method: DFT, PBE-GGA
State: relaxed

Summary:
Raw total energy = -0.6851 Ry per atom

Cell lengths 5.419, 5.419, 9.397 Å; angles 73.24, 73.24, 60.00 degrees
Fractional coordinates of all 12 atoms:
Os1 0.437 0.437 0.188
Os2 0.937 0.438 0.687
Os3 0.438 0.937 0.687
Os4 0.937 0.437 0.188
Os5 0.937 0.937 0.687
Os6 0.687 0.687 0.938
Os7 0.437 0.937 0.188
Os8 0.187 0.187 0.438
Pm1 0.000 0.000 0.000
Pm2 0.375 0.375 0.875
Pm3 0.500 0.500 0.499
Ce1 0.875 0.875 0.375

---

No. 11
Material: ZnTcN2F
Method: DFT, PBE-GGA
State: relaxed

Summary:
Raw total energy = -0.3689 Ry per atom
Relative energy among the computed polymorphs = 0.877 eV per atom
Energy relative to the elements, uncorrected = 97.7 kJ per mole of atoms

Cell lengths 3.926, 3.926, 3.815 Å; angles 90.00, 90.00, 90.00 degrees
Fractional coordinates of all 5 atoms:
F1 0.000 0.000 0.500
N1 0.500 0.000 0.000
N2 0.000 0.500 0.000
Tc1 0.500 0.500 0.500
Zn1 0.000 0.000 0.000

---

> Among the records above, which one has the highest raw total energy?

Li2TbMg2Tl2

---

> What is the formula in the fifth record?

Li2TbMg2Tl2